Density functional theory data (SCAN) for a PBEsol-optimized structure of Na6Ni2AsC4O16.

The structure in POSCAR format:
```
Na6Ni2AsC4O16
1.0
-5.438 0.929 8.033
3.501 -2.906 8.617
2.388 6.595 6.764
O Ni Na C As
32 4 12 8 2
Direct
0.483 0.315 0.982
0.030 0.767 0.268
0.268 0.935 0.030
0.982 0.220 0.483
0.220 0.982 0.315
0.572 0.572 0.285
0.285 0.572 0.572
0.935 0.030 0.268
0.572 0.285 0.572
0.572 0.572 0.572
0.678 0.678 0.965
0.483 0.220 0.315
0.030 0.935 0.767
0.965 0.678 0.678
0.315 0.982 0.483
0.483 0.982 0.220
0.315 0.220 0.982
0.220 0.483 0.982
0.935 0.767 0.030
0.315 0.483 0.220
0.220 0.315 0.483
0.767 0.935 0.268
0.935 0.268 0.767
0.678 0.678 0.678
0.982 0.315 0.220
0.268 0.030 0.767
0.767 0.030 0.935
0.268 0.767 0.935
0.678 0.965 0.678
0.767 0.268 0.030
0.982 0.483 0.315
0.030 0.268 0.935
0.125 0.125 0.125
0.125 0.125 0.625
0.625 0.125 0.125
0.125 0.625 0.125
0.712 0.288 0.288
0.538 0.962 0.962
0.538 0.962 0.538
0.288 0.712 0.288
0.288 0.288 0.712
0.962 0.962 0.538
0.712 0.288 0.712
0.538 0.538 0.962
0.712 0.712 0.288
0.962 0.538 0.962
0.962 0.538 0.538
0.288 0.712 0.712
0.338 0.986 0.338
0.338 0.338 0.338
0.912 0.912 0.912
0.264 0.912 0.912
0.986 0.338 0.338
0.912 0.264 0.912
0.338 0.338 0.986
0.912 0.912 0.264
0.500 0.500 0.500
0.750 0.750 0.750
```

## Properties
M_tot   0.100 μB/atom
Formation energy (no corrections)   -1652 meV per atom